Entry from Alexandria via LeMat-Bulk: a relaxed LiCoTe2 crystal (PBE-GGA).

```
LiCoTe2
1.0
11.693 0.000 0.000
0.000 3.724 0.000
-1.476 0.000 4.578
Li Co Te
2 2 4
Direct
0.000 0.000 0.000
0.500 0.500 0.000
0.369 0.500 0.356
0.869 0.000 0.356
0.020 0.500 0.533
0.260 0.000 0.035
0.520 0.000 0.533
0.760 0.500 0.035
```

As for the total energy: -32.1 eV per cell. As for the space-group type: Cm, No. 8. Its uncorrected formation energy is -18 kJ/mol of atoms. The magnetization is 2.9 Bohr magnetons per cell.